[1]
Below is MnOsSeN2 after structural relaxation, with properties calculated at the GGA-PBE level.

Output
Raw total energy = -7.55 eV per atom
Size of the total moment = 4.87 μB/cell
Space-group type = P4/mmm, No. 123
Distance to the lowest polymorph of the same formula = 0.0000 eV per atom
Density = 7.41 g/cm3
Formation energy without anion corrections = 558.9 meV/atom

```
MnOsSeN2
1.0
3.791 0.000 0.000
0.000 3.791 0.000
0.000 0.000 5.489
Mn Os Se N
1 1 1 2
Direct
0.000 0.000 0.000 Mn
0.500 0.500 0.500 Os
0.500 0.500 0.000 Se
0.000 0.500 0.500 N
0.500 0.000 0.500 N
```



[2]
Below is CrRh5 after structural relaxation, with properties calculated at the GGA-PBE level.

Output
Raw total energy = -7.76 eV per atom
Size of the total moment = 0.00 μB/cell
Space-group type = P4/mmm, No. 123
Density = 11.37 g/cm3

```
CrRh5
1.0
2.705 0.000 0.000
0.000 2.705 0.000
0.000 0.000 11.301
Cr Rh
1 5
Direct
0.000 0.000 0.000 Cr
0.000 0.000 0.332 Rh
0.000 0.000 0.668 Rh
0.500 0.500 0.153 Rh
0.500 0.500 0.500 Rh
0.500 0.500 0.847 Rh
```



Repeat the first record exactly.
Below is MnOsSeN2 after structural relaxation, with properties calculated at the GGA-PBE level.

Output
Raw total energy = -7.55 eV per atom
Size of the total moment = 4.87 μB/cell
Space-group type = P4/mmm, No. 123
Distance to the lowest polymorph of the same formula = 0.0000 eV per atom
Density = 7.41 g/cm3
Formation energy without anion corrections = 558.9 meV/atom

```
MnOsSeN2
1.0
3.791 0.000 0.000
0.000 3.791 0.000
0.000 0.000 5.489
Mn Os Se N
1 1 1 2
Direct
0.000 0.000 0.000 Mn
0.500 0.500 0.500 Os
0.500 0.500 0.000 Se
0.000 0.500 0.500 N
0.500 0.000 0.500 N
```